[1]
! Pu3Tl2Au PBE-GGA relaxed; values from VASP
! Total energy: -8.65 eV per atom
! E_form: -150 meV/atom
! V: 153 Å³ per cell
&SYSTEM
  ibrav = 0, nat = 6, ntyp = 3
/
ATOMIC_SPECIES
Pu 244.00 Pu.upf
Tl 204.38 Tl.upf
Au 196.97 Au.upf
ATOMIC_POSITIONS crystal
Pu 0.000 0.000 0.651
Pu 0.000 0.000 0.000
Tl 0.500 0.500 0.826
Pu 0.000 0.000 0.349
Tl 0.500 0.500 0.174
Au 0.500 0.500 0.500
CELL_PARAMETERS angstrom
3.299 0.000 0.000
0.000 3.299 0.000
0.000 0.000 14.092

---

[2]
! PuTlZnAu PBE-GGA relaxed; values from VASP
! Total energy: -5.47 eV per atom
! E_form: -157 meV/atom
! V: 89 Å³ per cell
&SYSTEM
  ibrav = 0, nat = 4, ntyp = 4
/
ATOMIC_SPECIES
Au 196.97 Au.upf
Pu 244.00 Pu.upf
Tl 204.38 Tl.upf
Zn 65.41 Zn.upf
ATOMIC_POSITIONS crystal
Au 0.500 0.500 0.500
Pu 0.250 0.250 0.250
Tl 0.750 0.750 0.750
Zn 0.000 0.000 0.000
CELL_PARAMETERS angstrom
5.017 0.000 0.000
2.508 4.345 0.000
2.508 1.448 4.096

---

[3]
! PuZrTlAu PBE-GGA relaxed; values from VASP
! Total energy: -7.23 eV per atom
! E_form: -104 meV/atom
! V: 96 Å³ per cell
&SYSTEM
  ibrav = 0, nat = 4, ntyp = 4
/
ATOMIC_SPECIES
Zr 91.22 Zr.upf
Pu 244.00 Pu.upf
Tl 204.38 Tl.upf
Au 196.97 Au.upf
ATOMIC_POSITIONS crystal
Zr 0.250 0.250 0.250
Pu 0.750 0.750 0.750
Tl 0.000 0.000 0.000
Au 0.500 0.500 0.500
CELL_PARAMETERS angstrom
5.134 0.000 0.000
2.567 4.446 0.000
2.567 1.482 4.192

---

[4]
! Tm4PuAu5 PBE-GGA relaxed; values from VASP
! Total energy: -5.66 eV per atom
! E_form: -799 meV/atom
! V: 227 Å³ per cell
&SYSTEM
  ibrav = 0, nat = 10, ntyp = 3
/
ATOMIC_SPECIES
Tm 168.93 Tm.upf
Au 196.97 Au.upf
Pu 244.00 Pu.upf
ATOMIC_POSITIONS crystal
Tm 0.000 0.000 0.401
Au 0.500 0.500 0.888
Au 0.500 0.500 0.112
Au 0.500 0.500 0.500
Au 0.500 0.500 0.303
Tm 0.000 0.000 0.599
Au 0.500 0.500 0.697
Tm 0.000 0.000 0.796
Tm 0.000 0.000 0.204
Pu 0.000 0.000 0.000
CELL_PARAMETERS angstrom
3.532 0.000 0.000
0.000 3.532 0.000
0.000 0.000 18.193

---

[5]
! TmPu2Au3 PBE-GGA relaxed; values from VASP
! Total energy: -7.72 eV per atom
! E_form: -562 meV/atom
! V: 141 Å³ per cell
&SYSTEM
  ibrav = 0, nat = 6, ntyp = 3
/
ATOMIC_SPECIES
Pu 244.00 Pu.upf
Tm 168.93 Tm.upf
Au 196.97 Au.upf
ATOMIC_POSITIONS crystal
Pu 0.500 0.500 0.171
Pu 0.500 0.500 0.829
Tm 0.500 0.500 0.500
Au 0.000 0.000 0.000
Au 0.000 0.000 0.351
Au 0.000 0.000 0.649
CELL_PARAMETERS angstrom
3.509 0.000 0.000
0.000 3.509 0.000
0.000 0.000 11.419

---

[6]
! Tm2PuAu4 PBE-GGA relaxed; values from VASP
! Total energy: -5.73 eV per atom
! E_form: -531 meV/atom
! V: 170 Å³ per cell
&SYSTEM
  ibrav = 0, nat = 7, ntyp = 3
/
ATOMIC_SPECIES
Tm 168.93 Tm.upf
Pu 244.00 Pu.upf
Au 196.97 Au.upf
ATOMIC_POSITIONS crystal
Tm 0.500 0.500 0.500
Tm 0.000 0.000 0.000
Pu 0.500 0.500 0.000
Au 0.000 0.500 0.261
Au 0.500 0.000 0.739
Au 0.000 0.500 0.739
Au 0.500 0.000 0.261
CELL_PARAMETERS angstrom
-0.885 -4.806 -1.458
3.500 0.471 -3.679
4.612 -2.099 4.120

---

[7]
! TmPuAu PBE-GGA relaxed; values from VASP
! Total energy: -7.72 eV per atom
! E above lowest polymorph: 77 meV per atom
! E_form: -358 meV/atom
! V: 77 Å³ per cell
&SYSTEM
  ibrav = 0, nat = 3, ntyp = 3
/
ATOMIC_SPECIES
Tm 168.93 Tm.upf
Pu 244.00 Pu.upf
Au 196.97 Au.upf
ATOMIC_POSITIONS crystal
Tm 0.307 0.307 0.615
Pu 0.014 0.014 0.028
Au 0.678 0.678 0.357
CELL_PARAMETERS angstrom
3.535 0.000 0.000
0.000 3.535 0.000
-1.768 -1.768 6.181

---

[8]
! TmPuAu4 PBE-GGA relaxed; values from VASP
! Total energy: -5.96 eV per atom
! E_form: -642 meV/atom
! V: 129 Å³ per cell
&SYSTEM
  ibrav = 0, nat = 6, ntyp = 3
/
ATOMIC_SPECIES
Tm 168.93 Tm.upf
Au 196.97 Au.upf
Pu 244.00 Pu.upf
ATOMIC_POSITIONS crystal
Tm 0.500 0.500 0.500
Au 0.500 0.500 0.824
Au 0.500 0.500 0.176
Au 0.000 0.000 0.341
Au 0.000 0.000 0.659
Pu 0.000 0.000 0.000
CELL_PARAMETERS angstrom
3.727 0.000 0.000
0.000 3.727 0.000
0.000 0.000 9.253

---

[9]
! TmPuAu PBE-GGA relaxed; values from VASP
! Total energy: -7.80 eV per atom
! E above lowest polymorph: 0 meV per atom
! E_form: -435 meV/atom
! V: 143 Å³ per cell
&SYSTEM
  ibrav = 0, nat = 6, ntyp = 3
/
ATOMIC_SPECIES
Pu 244.00 Pu.upf
Tm 168.93 Tm.upf
Au 196.97 Au.upf
ATOMIC_POSITIONS crystal
Pu 0.259 0.750 0.518
Tm 0.575 0.750 0.150
Au 0.918 0.750 0.836
Au 0.082 0.250 0.164
Pu 0.741 0.250 0.482
Tm 0.425 0.250 0.850
CELL_PARAMETERS angstrom
3.685 0.000 0.000
0.000 4.853 0.000
-1.842 0.000 8.020

---

[10]
! TmPuAu2 PBE-GGA relaxed; values from VASP
! Total energy: -6.99 eV per atom
! E above lowest polymorph: 0 meV per atom
! E_form: -651 meV/atom
! V: 93 Å³ per cell
&SYSTEM
  ibrav = 0, nat = 4, ntyp = 3
/
ATOMIC_SPECIES
Tm 168.93 Tm.upf
Pu 244.00 Pu.upf
Au 196.97 Au.upf
ATOMIC_POSITIONS crystal
Tm 0.500 0.500 0.000
Pu 0.500 0.500 0.500
Au 0.000 0.000 0.772
Au 0.000 0.000 0.228
CELL_PARAMETERS angstrom
-2.931 -0.557 -1.907
-1.862 -0.415 2.983
-1.446 7.246 0.106

---

[11]
! TmPuAu2 PBE-GGA relaxed; values from VASP
! Total energy: -6.82 eV per atom
! E above lowest polymorph: 172 meV per atom
! E_form: -479 meV/atom
! V: 105 Å³ per cell
&SYSTEM
  ibrav = 0, nat = 4, ntyp = 3
/
ATOMIC_SPECIES
Tm 168.93 Tm.upf
Au 196.97 Au.upf
Pu 244.00 Pu.upf
ATOMIC_POSITIONS crystal
Tm 0.000 0.000 0.000
Au 0.745 0.745 0.765
Pu 0.500 0.500 0.500
Au 0.255 0.255 0.235
CELL_PARAMETERS angstrom
4.051 0.000 0.000
2.026 3.509 0.000
2.026 1.170 7.391

---

[12]
! TmPu2Au4 PBE-GGA relaxed; values from VASP
! Total energy: -7.04 eV per atom
! E_form: -431 meV/atom
! V: 173 Å³ per cell
&SYSTEM
  ibrav = 0, nat = 7, ntyp = 3
/
ATOMIC_SPECIES
Au 196.97 Au.upf
Pu 244.00 Pu.upf
Tm 168.93 Tm.upf
ATOMIC_POSITIONS crystal
Au 0.889 0.389 0.778
Au 0.111 0.611 0.222
Pu 0.262 0.262 0.525
Pu 0.738 0.738 0.475
Au 0.611 0.111 0.222
Au 0.389 0.889 0.778
Tm 0.000 0.000 0.000
CELL_PARAMETERS angstrom
-1.899 2.306 -3.974
-4.488 -0.011 2.138
4.573 5.039 3.848

---

[13]
! Tm5Pu3Au12 PBE-GGA relaxed; values from VASP
! Total energy: -5.52 eV per atom
! E_form: -286 meV/atom
! V: 2325 Å³ per cell
&SYSTEM
  ibrav = 0, nat = 80, ntyp = 3
/
ATOMIC_SPECIES
Pu 244.00 Pu.upf
Tm 168.93 Tm.upf
Au 196.97 Au.upf
ATOMIC_POSITIONS crystal
Pu 0.250 0.125 0.375
Tm 0.750 0.125 0.875
Au 0.770 0.338 0.918
Au 0.838 0.918 0.270
Au 0.582 0.730 0.662
Au 0.082 0.162 0.230
Au 0.338 0.567 0.419
Pu 0.125 0.250 0.875
Au 0.582 0.852 0.419
Tm 0.625 0.750 0.875
Tm 0.000 0.500 0.000
Au 0.162 0.082 0.730
Tm 0.250 0.375 0.625
Au 0.433 0.662 0.081
Tm 0.000 0.000 0.000
Au 0.352 0.933 0.770
Tm 0.875 0.250 0.625
Au 0.648 0.067 0.230
Au 0.852 0.582 0.919
Tm 0.375 0.125 0.750
Au 0.852 0.270 0.433
Au 0.419 0.067 0.338
Au 0.933 0.581 0.162
Au 0.933 0.352 0.270
Tm 0.625 0.875 0.250
Au 0.418 0.270 0.338
Au 0.838 0.919 0.067
Au 0.067 0.648 0.730
Au 0.567 0.338 0.919
Tm 0.500 0.000 0.500
Au 0.662 0.433 0.581
Au 0.270 0.418 0.838
Tm 0.125 0.375 0.250
Pu 0.625 0.250 0.375
Au 0.730 0.582 0.162
Tm 0.000 0.500 0.500
Au 0.581 0.933 0.662
Au 0.662 0.230 0.582
Pu 0.125 0.875 0.750
Au 0.648 0.581 0.918
Au 0.230 0.567 0.648
Au 0.162 0.081 0.933
Au 0.418 0.148 0.581
Au 0.919 0.838 0.567
Pu 0.875 0.125 0.250
Au 0.082 0.919 0.352
Au 0.730 0.148 0.067
Pu 0.250 0.625 0.875
Au 0.148 0.730 0.567
Tm 0.875 0.625 0.750
Tm 0.500 0.500 0.000
Au 0.081 0.918 0.148
Tm 0.750 0.625 0.375
Au 0.419 0.352 0.582
Au 0.581 0.648 0.418
Tm 0.375 0.250 0.125
Au 0.567 0.230 0.148
Pu 0.375 0.750 0.625
Au 0.918 0.081 0.648
Tm 0.500 0.500 0.500
Pu 0.875 0.750 0.125
Tm 0.500 0.000 0.000
Tm 0.250 0.875 0.125
Au 0.270 0.852 0.933
Au 0.433 0.770 0.852
Au 0.352 0.419 0.082
Tm 0.000 0.000 0.500
Au 0.067 0.419 0.838
Au 0.919 0.082 0.852
Tm 0.125 0.750 0.375
Pu 0.375 0.625 0.250
Pu 0.750 0.375 0.125
Au 0.230 0.662 0.082
Au 0.148 0.418 0.081
Au 0.081 0.162 0.433
Pu 0.750 0.875 0.625
Au 0.338 0.770 0.418
Au 0.770 0.433 0.352
Pu 0.625 0.375 0.750
Au 0.918 0.838 0.770
CELL_PARAMETERS angstrom
14.454 0.000 0.000
-4.818 13.627 0.000
-4.818 -6.814 11.802

---

[14]
! Tm2PuAu3 PBE-GGA relaxed; values from VASP
! Total energy: -6.25 eV per atom
! E_form: -735 meV/atom
! V: 137 Å³ per cell
&SYSTEM
  ibrav = 0, nat = 6, ntyp = 3
/
ATOMIC_SPECIES
Pu 244.00 Pu.upf
Au 196.97 Au.upf
Tm 168.93 Tm.upf
ATOMIC_POSITIONS crystal
Pu 0.500 0.500 0.500
Au 0.000 0.000 0.000
Tm 0.500 0.500 0.164
Au 0.000 0.000 0.685
Tm 0.500 0.500 0.836
Au 0.000 0.000 0.315
CELL_PARAMETERS angstrom
3.542 0.000 0.000
0.000 3.542 0.000
0.000 0.000 10.953

---

[15]
! TmPuAu2 PBE-GGA relaxed; values from VASP
! Total energy: -6.94 eV per atom
! E above lowest polymorph: 47 meV per atom
! E_form: -604 meV/atom
! V: 94 Å³ per cell
&SYSTEM
  ibrav = 0, nat = 4, ntyp = 3
/
ATOMIC_SPECIES
Au 196.97 Au.upf
Tm 168.93 Tm.upf
Pu 244.00 Pu.upf
ATOMIC_POSITIONS crystal
Au 0.250 0.250 0.250
Tm 0.500 0.500 0.500
Au 0.750 0.750 0.750
Pu 0.000 0.000 0.000
CELL_PARAMETERS angstrom
5.096 0.000 0.000
2.548 4.413 0.000
2.548 1.471 4.161

---

[16]
! TmPuAu PBE-GGA relaxed; values from VASP
! Total energy: -7.58 eV per atom
! E above lowest polymorph: 217 meV per atom
! E_form: -218 meV/atom
! V: 74 Å³ per cell
&SYSTEM
  ibrav = 0, nat = 3, ntyp = 3
/
ATOMIC_SPECIES
Tm 168.93 Tm.upf
Pu 244.00 Pu.upf
Au 196.97 Au.upf
ATOMIC_POSITIONS crystal
Tm 0.274 0.333 0.667
Pu 0.700 0.667 0.333
Au 0.025 0.000 0.000
CELL_PARAMETERS angstrom
-0.386 -3.014 -1.615
4.281 -1.605 1.972
-4.288 -0.745 2.417

---

[17]
! TmPu4Au5 PBE-GGA relaxed; values from VASP
! Total energy: -7.64 eV per atom
! E_form: 181 meV/atom
! V: 223 Å³ per cell
&SYSTEM
  ibrav = 0, nat = 10, ntyp = 3
/
ATOMIC_SPECIES
Pu 244.00 Pu.upf
Au 196.97 Au.upf
Tm 168.93 Tm.upf
ATOMIC_POSITIONS crystal
Pu 0.000 0.000 0.771
Au 0.500 0.500 0.698
Tm 0.000 0.000 0.000
Au 0.500 0.500 0.103
Au 0.500 0.500 0.897
Au 0.500 0.500 0.500
Pu 0.000 0.000 0.229
Pu 0.000 0.000 0.379
Au 0.500 0.500 0.302
Pu 0.000 0.000 0.621
CELL_PARAMETERS angstrom
3.871 0.000 0.000
0.000 3.871 0.000
0.000 0.000 14.899

---

[18]
! TmPuZnAu PBE-GGA relaxed; values from VASP
! Total energy: -6.21 eV per atom
! E_form: -374 meV/atom
! V: 92 Å³ per cell
&SYSTEM
  ibrav = 0, nat = 4, ntyp = 4
/
ATOMIC_SPECIES
Pu 244.00 Pu.upf
Zn 65.41 Zn.upf
Tm 168.93 Tm.upf
Au 196.97 Au.upf
ATOMIC_POSITIONS crystal
Pu 0.000 0.000 0.000
Zn 0.750 0.750 0.750
Tm 0.500 0.500 0.500
Au 0.250 0.250 0.250
CELL_PARAMETERS angstrom
-1.469 -3.130 3.709
-1.792 -4.607 -1.131
2.748 -4.124 1.075

---

[19]
! PuUAu PBE-GGA relaxed; values from VASP
! Total energy: -9.65 eV per atom
! E_form: -16 meV/atom
! V: 63 Å³ per cell
&SYSTEM
  ibrav = 0, nat = 3, ntyp = 3
/
ATOMIC_SPECIES
Au 196.97 Au.upf
U 238.03 U.upf
Pu 244.00 Pu.upf
ATOMIC_POSITIONS crystal
Au 0.665 0.665 0.330
U 0.977 0.977 0.953
Pu 0.358 0.358 0.716
CELL_PARAMETERS angstrom
3.525 0.000 0.000
0.000 3.525 0.000
-1.762 -1.762 5.045

---

[20]
! YPuAu4 PBE-GGA relaxed; values from VASP
! Total energy: -6.09 eV per atom
! E above lowest polymorph: 196 meV per atom
! E_form: -437 meV/atom
! V: 153 Å³ per cell
&SYSTEM
  ibrav = 0, nat = 6, ntyp = 3
/
ATOMIC_SPECIES
Au 196.97 Au.upf
Y 88.91 Y.upf
Pu 244.00 Pu.upf
ATOMIC_POSITIONS crystal
Au 0.001 0.561 0.281
Au 0.501 0.933 0.220
Y 0.001 0.997 0.498
Au 0.001 0.433 0.715
Au 0.501 0.062 0.777
Pu 0.501 0.497 0.998
CELL_PARAMETERS angstrom
4.227 0.028 0.025
-0.041 5.460 1.010
-0.049 1.138 6.828

---

[21]
! YPu2Au3 PBE-GGA relaxed; values from VASP
! Total energy: -8.04 eV per atom
! E_form: -547 meV/atom
! V: 143 Å³ per cell
&SYSTEM
  ibrav = 0, nat = 6, ntyp = 3
/
ATOMIC_SPECIES
Pu 244.00 Pu.upf
Au 196.97 Au.upf
Y 88.91 Y.upf
ATOMIC_POSITIONS crystal
Pu 0.500 0.500 0.831
Pu 0.500 0.500 0.169
Au 0.000 0.000 0.345
Y 0.500 0.500 0.500
Au 0.000 0.000 0.655
Au 0.000 0.000 0.000
CELL_PARAMETERS angstrom
3.547 0.000 0.000
0.000 3.547 0.000
0.000 0.000 11.373

---

[22]
! YPu5Au6 PBE-GGA relaxed; values from VASP
! Total energy: -8.60 eV per atom
! E_form: -454 meV/atom
! V: 288 Å³ per cell
&SYSTEM
  ibrav = 0, nat = 12, ntyp = 3
/
ATOMIC_SPECIES
Au 196.97 Au.upf
Pu 244.00 Pu.upf
Y 88.91 Y.upf
ATOMIC_POSITIONS crystal
Au 0.831 0.069 0.335
Au 0.169 0.931 0.665
Pu 0.325 0.826 0.349
Au 0.169 0.404 0.665
Y 0.000 0.000 0.000
Au 0.500 0.223 0.000
Pu 0.345 0.346 0.308
Pu 0.000 0.500 0.000
Pu 0.655 0.654 0.692
Au 0.831 0.596 0.335
Au 0.500 0.777 0.000
Pu 0.675 0.174 0.651
CELL_PARAMETERS angstrom
5.022 -0.451 0.867
0.139 6.881 2.755
1.136 0.464 8.752

---

[23]
! Y2PuAu6 PBE-GGA relaxed; values from VASP
! Total energy: -5.86 eV per atom
! E_form: -641 meV/atom
! V: 395 Å³ per cell
&SYSTEM
  ibrav = 0, nat = 18, ntyp = 3
/
ATOMIC_SPECIES
Y 88.91 Y.upf
Au 196.97 Au.upf
Pu 244.00 Pu.upf
ATOMIC_POSITIONS crystal
Y 0.500 0.335 0.165
Au 0.501 0.667 0.503
Au 0.001 0.167 0.003
Y 0.500 0.665 0.835
Au 0.499 0.997 0.833
Pu 0.750 0.750 0.250
Au 0.744 0.413 0.913
Au 0.499 0.333 0.497
Y 0.000 0.165 0.335
Au 0.501 0.003 0.167
Au 0.256 0.587 0.087
Au 0.999 0.497 0.333
Y 0.000 0.835 0.665
Au 0.999 0.833 0.997
Au 0.001 0.503 0.667
Au 0.244 0.913 0.413
Pu 0.250 0.250 0.750
Au 0.756 0.087 0.587
CELL_PARAMETERS angstrom
5.318 0.171 -0.076
-0.282 8.080 -4.582
0.184 -0.200 9.289